1.
Cs2CdTeO, optimized geometry, DFT PBE; space group = P4/mmm; E = -2.9113 eV/atom; distance to the lowest polymorph of the same formula = 0 kJ/mol of formula units; formation energy (no corrections) = -767 meV/atom
1.0
-5.2568 0.3500 4.0160
1.1563 -6.1913 2.0531
2.4589 1.4837 3.0892
Cs Te O Cd
2 1 1 1
direct
0.0000 0.5000 0.0000
0.5000 0.0000 0.0000
0.5000 0.5000 0.5000
0.0000 0.0000 0.0000
0.0000 0.0000 0.5000

=====

2.
Cs3CdTe2O8, optimized geometry, DFT PBE; space group = P-3m1; E = -4.7527 eV/atom; formation energy (no corrections) = -1222 meV/atom
1.0
-1.0370 3.0107 5.6226
-3.4911 -5.2061 -1.5692
5.7600 -4.9878 3.7331
Cs Cd Te O
3 1 2 8
direct
0.3333 0.6667 0.6980
0.6667 0.3333 0.3020
0.0000 0.0000 0.0000
0.0000 0.0000 0.5000
0.3333 0.6667 0.2580
0.6667 0.3333 0.7420
0.3333 0.6667 0.0396
0.6667 0.3333 0.9604
0.1737 0.8263 0.3334
0.8263 0.1737 0.6666
0.1737 0.3474 0.3334
0.8263 0.6526 0.6666
0.6526 0.8263 0.3334
0.3474 0.1737 0.6666

=====

3.
Cs2ThCdO4, optimized geometry, DFT PBE; space group = P2/m; E = -5.7936 eV/atom; formation energy (no corrections) = -2059 meV/atom
1.0
3.6690 0.0000 0.0000
0.0000 6.3738 -0.0533
0.0000 -2.3849 6.9474
Cs Th Cd O
2 1 1 4
direct
0.5000 0.0000 0.5000
0.0000 0.5000 0.5000
0.5000 0.5000 0.0000
0.0000 0.0000 0.0000
0.5000 0.2345 0.1598
0.5000 0.7655 0.8402
0.0000 0.3081 0.8169
0.0000 0.6919 0.1830

=====

- Among the records above, which one has the highest E?
  Cs2CdTeO